RbNpVCl6 PBE-GGA relaxed; total energy = -97.052 eV for the cell shown; volume = 32.69 Å³/atom
1.0
6.723 0.000 0.000
-3.361 5.822 0.000
0.000 0.000 15.033
Rb Np V Cl
2 2 2 12
Direct
0.000 0.000 0.000
0.000 0.000 0.500
0.333 0.667 0.250
0.667 0.333 0.750
0.333 0.667 0.750
0.667 0.333 0.250
0.029 0.378 0.650
0.029 0.650 0.850
0.350 0.378 0.850
0.350 0.971 0.650
0.378 0.029 0.150
0.378 0.350 0.350
0.622 0.650 0.650
0.622 0.971 0.850
0.650 0.029 0.350
0.650 0.622 0.150
0.971 0.350 0.150
0.971 0.622 0.350